Record 1
The following is a DFT calculation (PBE-GGA) of a geometry-optimized CdHg2Sb structure.

It has space group P2/m (No. 10), with a = 5.528 Å, b = 3.391 Å, c = 5.532 Å, α = 90.00°, β = 99.31° and γ = 90.00°. Symmetry generates all atoms from Cd at (0.000, 0.000, 0.000), Hg at (0.500, 0.000, 0.500), Hg at (0.500, 0.500, 0.000) and Sb at (0.000, 0.500, 0.500).

As for the calculated total energy: -5.20 eV per cell. For the uncorrected formation energy, the calculation gives 0.44 eV/f.u. Its total moment is 0.00 μB per formula unit.

---

Record 2
The following is a DFT calculation (PBE-GGA) of a geometry-optimized TaHgW2 structure.

It has space group R3m (No. 160, hexagonal axes), with a = 2.8613 Å, b = 2.8613 Å, c = 30.3499 Å, α = 90.00°, β = 90.00° and γ = 120.00°. Symmetry generates all atoms from Ta at (0.0000, 0.0000, 0.0000), Hg at (0.0000, 0.0000, 0.7534), W at (0.0000, 0.0000, 0.2505) and W at (0.0000, 0.0000, 0.5046).

As for the calculated total energy: -107.59 eV per cell. The calculated formation energy is 0.550 eV/atom. Its total moment is 0.00 μB per formula unit.

---

Record 3
The following is a DFT calculation (PBE-GGA) of a geometry-optimized GaSiHgOsRh structure.

It has space group P1 (No. 1), with a = 2.928 Å, b = 5.129 Å, c = 5.789 Å, α = 83.77°, β = 75.44° and γ = 73.44°. Symmetry generates all atoms from Ga at (0.000, 0.000, 0.000), Si at (0.148, 0.365, 0.341), Hg at (0.330, 0.834, 0.512), Os at (0.702, 0.554, 0.042) and Rh at (0.509, 0.295, 0.688).

As for the calculated total energy: -27.43 eV per cell. For the uncorrected formation energy, the calculation gives -0.10 eV/f.u. Its total moment is 0.29 μB per formula unit.

---

Record 4
The following is a DFT calculation (PBE-GGA) of a geometry-optimized HoZr2NpAs4 structure.

It has space group P2/m (No. 10), with a = 6.872 Å, b = 3.966 Å, c = 6.918 Å, α = 90.00°, β = 109.23° and γ = 90.00°. Symmetry generates all atoms from Ho at (0.000, 0.000, 0.000), Zr at (0.000, 0.500, 0.500), Zr at (0.500, 0.000, 0.500), Np at (0.500, 0.500, 0.000), As at (0.246, 0.000, 0.738) and As at (0.254, 0.500, 0.262).

As for the calculated total energy: -62.26 eV per cell. The calculated formation energy is -1.131 eV/atom. Its total moment is 3.98 μB per formula unit.

---

Record 5
The following is a DFT calculation (PBE-GGA) of a geometry-optimized PrTm2Ag2 structure.

It has space group P2_1/m (No. 11), with a = 5.210 Å, b = 4.889 Å, c = 10.972 Å, α = 90.00°, β = 94.23° and γ = 90.00°. Symmetry generates all atoms from Pr at (0.201, 0.250, 0.246), Tm at (0.251, 0.750, 0.495), Tm at (0.341, 0.250, 0.888), Ag at (0.149, 0.750, 0.005) and Ag at (0.271, 0.250, 0.633).

As for the calculated total energy: -40.24 eV per cell. The calculated formation energy is -0.139 eV/atom. Its total moment is 0.00 μB per formula unit.

---

Record 6
The following is a DFT calculation (PBE-GGA) of a geometry-optimized SrTi3H structure.

It has space group Pm-3m (No. 221), with a = 4.420 Å, b = 4.420 Å, c = 4.420 Å, α = 90.00°, β = 90.00° and γ = 90.00°. Symmetry generates all atoms from Sr at (0.000, 0.000, 0.000), Ti at (0.000, 0.500, 0.500) and H at (0.500, 0.500, 0.500).

As for the calculated total energy: -26.37 eV per cell. Its total moment is 0.00 μB per formula unit.

---

Record 7
The following is a DFT calculation (PBE-GGA) of a geometry-optimized Si2NiAg structure.

It has space group Cm (No. 8), with a = 7.620 Å, b = 2.979 Å, c = 5.952 Å, α = 90.00°, β = 118.68° and γ = 90.00°. Symmetry generates all atoms from Si at (0.000, 0.000, 0.000), Si at (0.237, 0.500, 0.382), Ni at (0.358, 0.000, 0.180) and Ag at (0.110, 0.500, 0.708).

As for the calculated total energy: -38.94 eV per cell. For the uncorrected formation energy, the calculation gives 0.01 eV/f.u. Its total moment is 0.00 μB per formula unit.

---

Record 8
The following is a DFT calculation (PBE-GGA) of a geometry-optimized PmNd2Pb3 structure.

It has space group Cmmm (No. 65), with a = 5.922 Å, b = 17.806 Å, c = 6.933 Å, α = 90.00°, β = 90.00° and γ = 90.00°. Symmetry generates all atoms from Pm at (0.000, 0.167, 0.000), Nd at (0.000, 0.166, 0.500), Nd at (0.000, 0.500, 0.000), Nd at (0.000, 0.500, 0.500), Pb at (0.000, 0.000, 0.248) and Pb at (0.000, 0.333, 0.248).

As for the calculated total energy: -113.10 eV per cell. The calculated formation energy is -0.477 eV/atom. Its total moment is 1.17 μB per formula unit.